! PBE-GGA CaGa4Au4, optimized geometry; values from VASP
&SYSTEM
  ibrav = 0, nat = 18, ntyp = 3
/
ATOMIC_SPECIES
Ca 40.08 Ca.upf
Ga 69.72 Ga.upf
Au 196.97 Au.upf
ATOMIC_POSITIONS angstrom
Ca 1.633 4.900 2.172
Ca 4.900 1.633 6.515
Ga 0.113 1.633 1.218
Ga 1.633 0.113 5.561
Ga 1.633 3.154 5.561
Ga 3.154 1.633 1.218
Ga 3.380 4.900 7.470
Ga 4.900 3.380 3.126
Ga 4.900 6.421 3.126
Ga 6.421 4.900 7.470
Au 0.207 1.633 3.837
Au 1.633 0.207 8.180
Au 1.633 3.060 8.180
Au 3.060 1.633 3.837
Au 3.473 4.900 4.851
Au 4.900 3.473 0.507
Au 4.900 6.327 0.507
Au 6.327 4.900 4.851
CELL_PARAMETERS angstrom
6.534 0.000 0.000
0.000 6.534 0.000
0.000 0.000 8.687
! **Energy**: -30.6 eV/f.u.
! **ΔE_f**: -370 meV/atom
! **Density**: 9.913 g cm⁻³
! **M_tot**: 0.0000 μB per atom